Computed, not measured: MnP after structural relaxation at the PBE-GGA level of DFT.

Values from the calculation:
V = 90.8 Å³/cell
DFT total energy = -62.34 eV per cell
symmetry = P2_13

POSCAR file:
```
MnP
1.0
-0.573 -3.379 2.909
4.220 0.536 1.454
-1.440 2.916 3.104
Mn P
4 4
Direct
0.635 0.635 0.365
0.865 0.365 0.865
0.365 0.135 0.135
0.135 0.865 0.635
0.921 0.921 0.079
0.579 0.079 0.579
0.079 0.421 0.421
0.421 0.579 0.921
```

Computed, not measured: MnP2 after structural relaxation at the PBE-GGA level of DFT.

Values from the calculation:
V = 72.8 Å³/cell
DFT total energy = -41.31 eV per cell
symmetry = I4/mcm

POSCAR file:
```
MnP2
1.0
-2.636 2.636 2.617
2.636 -2.636 2.617
2.636 2.636 -2.617
Mn P
2 4
Direct
0.750 0.750 0.000
0.250 0.250 0.000
0.151 0.349 0.500
0.849 0.651 0.500
0.651 0.151 0.801
0.349 0.849 0.199
```

Computed, not measured: MnP after structural relaxation at the PBE-GGA level of DFT.

Values from the calculation:
V = 51.5 Å³/cell
DFT total energy = -30.97 eV per cell
symmetry = P6_3/mmc

POSCAR file:
```
MnP
1.0
0.780 0.487 -3.212
-0.930 -3.031 1.053
-5.089 1.195 -1.054
Mn P
2 2
Direct
0.000 0.000 0.500
0.000 0.000 0.000
0.333 0.667 0.250
0.667 0.333 0.750
```

Computed, not measured: MnP after structural relaxation at the PBE-GGA level of DFT.

Values from the calculation:
V = 147.4 Å³/cell
DFT total energy = -91.07 eV per cell
symmetry = Pmmn

POSCAR file:
```
MnP
1.0
-0.200 2.217 -1.640
-3.558 2.070 3.231
7.433 4.564 5.261
Mn P
6 6
Direct
0.000 0.005 0.869
0.500 0.995 0.631
0.500 0.995 0.369
0.000 0.005 0.131
0.000 0.691 0.500
0.500 0.309 0.000
0.000 0.693 0.719
0.500 0.307 0.781
0.500 0.307 0.219
0.000 0.693 0.281
0.000 0.658 0.000
0.500 0.342 0.500
```

Computed, not measured: MnP after structural relaxation at the PBE-GGA level of DFT.

Values from the calculation:
V = 50.5 Å³/cell
DFT total energy = -29.11 eV per cell
symmetry = P-3m1

POSCAR file:
```
MnP
1.0
1.375 -2.382 0.000
1.375 2.382 0.000
0.000 0.000 7.707
Mn P
2 2
Direct
0.667 0.333 0.873
0.333 0.667 0.127
0.667 0.333 0.334
0.333 0.667 0.666
```

Computed, not measured: MnP5 after structural relaxation at the PBE-GGA level of DFT.

Values from the calculation:
V = 95.0 Å³/cell
energy relative to the lowest polymorph listed for this composition = 0.000 eV per atom
symmetry = Cmmm

POSCAR file:
```
MnP5
1.0
1.755 -6.375 0.000
1.755 6.375 0.000
0.000 0.000 4.246
Mn P
1 5
Direct
0.000 0.000 0.000
0.694 0.306 0.500
0.619 0.381 0.000
0.306 0.694 0.500
0.381 0.619 0.000
0.000 0.000 0.500
```

Computed, not measured: MnP2 after structural relaxation at the PBE-GGA level of DFT.

Values from the calculation:
V = 86.2 Å³/cell
DFT total energy = -38.01 eV per cell
symmetry = P6_3/mmc

POSCAR file:
```
MnP2
1.0
-1.239 -1.584 3.830
-0.609 -2.320 -3.600
4.791 -2.231 0.628
Mn P
2 4
Direct
0.000 0.000 0.250
0.000 0.000 0.750
0.667 0.333 0.454
0.333 0.667 0.954
0.333 0.667 0.546
0.667 0.333 0.046
```

Computed, not measured: Mn4P3 after structural relaxation at the PBE-GGA level of DFT.

Values from the calculation:
V = 84.3 Å³/cell
energy relative to the lowest polymorph listed for this composition = 0.000 eV per atom
symmetry = I4/mmm

POSCAR file:
```
Mn4P3
1.0
-2.468 7.739 3.814
-6.173 5.365 3.693
4.787 -7.382 -1.768
Mn P
4 3
Direct
0.842 0.842 0.000
0.158 0.158 0.000
0.569 0.569 0.000
0.431 0.431 0.000
0.000 0.000 0.000
0.705 0.705 0.000
0.295 0.295 0.000
```

Computed, not measured: Mn5P3 after structural relaxation at the PBE-GGA level of DFT.

Values from the calculation:
V = 187.8 Å³/cell
energy relative to the lowest polymorph listed for this composition = 0.016 eV per atom
symmetry = I4cm

POSCAR file:
```
Mn5P3
1.0
6.558 0.011 0.001
-4.530 4.742 0.000
-1.014 -2.376 6.028
Mn P
10 6
Direct
0.694 0.194 0.500
0.194 0.694 0.499
0.968 0.825 0.716
0.109 0.252 0.284
0.468 0.752 0.143
0.609 0.325 0.857
0.752 0.609 0.284
0.325 0.468 0.716
0.825 0.109 0.857
0.252 0.968 0.143
0.780 0.780 0.000
0.280 0.280 0.000
0.773 0.273 0.175
0.097 0.597 0.824
0.273 0.097 0.500
0.597 0.773 0.500
```

Computed, not measured: Mn3P4 after structural relaxation at the PBE-GGA level of DFT.

Values from the calculation:
V = 83.4 Å³/cell
energy relative to the lowest polymorph listed for this composition = 0.000 eV per atom
symmetry = I4/mmm

POSCAR file:
```
Mn3P4
1.0
-5.628 1.124 7.015
-8.234 -0.187 3.782
7.247 -2.541 -4.812
Mn P
3 4
Direct
0.000 0.000 0.000
0.700 0.700 0.000
0.300 0.300 0.000
0.839 0.839 0.000
0.161 0.161 0.000
0.569 0.569 0.000
0.431 0.431 0.000
```

Computed, not measured: MnP after structural relaxation at the PBE-GGA level of DFT.

Values from the calculation:
V = 92.4 Å³/cell
DFT total energy = -60.17 eV per cell
symmetry = Pnma

POSCAR file:
```
MnP
1.0
2.914 0.000 0.000
0.000 5.194 0.000
0.000 0.000 6.105
Mn P
4 4
Direct
0.750 0.558 0.788
0.250 0.058 0.712
0.250 0.442 0.212
0.750 0.942 0.288
0.750 0.193 0.984
0.250 0.693 0.516
0.250 0.807 0.016
0.750 0.307 0.484
```

Computed, not measured: MnP2 after structural relaxation at the PBE-GGA level of DFT.

Values from the calculation:
V = 37.3 Å³/cell
DFT total energy = -20.51 eV per cell
symmetry = P-3m1

POSCAR file:
```
MnP2
1.0
2.959 0.000 0.000
-1.479 2.562 0.000
0.000 0.000 4.919
Mn P
1 2
Direct
0.000 0.000 0.000
0.333 0.667 0.684
0.667 0.333 0.316
```

Computed, not measured: Mn2P3 after structural relaxation at the PBE-GGA level of DFT.

Values from the calculation:
V = 124.9 Å³/cell
DFT total energy = -71.17 eV per cell
symmetry = Fdd2

POSCAR file:
```
Mn2P3
1.0
1.035 -2.946 7.206
-3.690 -1.611 5.005
2.463 -4.638 1.176
Mn P
4 6
Direct
0.526 0.306 0.005
0.163 0.005 0.306
0.245 0.087 0.724
0.944 0.724 0.087
0.678 0.696 0.093
0.533 0.093 0.696
0.157 0.717 0.572
0.554 0.572 0.717
0.100 0.400 0.400
0.850 0.150 0.150
```

Computed, not measured: MnP after structural relaxation at the PBE-GGA level of DFT.

Values from the calculation:
V = 95.8 Å³/cell
DFT total energy = -63.20 eV per cell
symmetry = Pnma

POSCAR file:
```
MnP
1.0
3.160 0.000 0.000
0.000 5.190 0.000
0.000 0.000 5.843
Mn P
4 4
Direct
0.250 0.504 0.696
0.750 0.496 0.304
0.250 0.004 0.804
0.750 0.996 0.196
0.250 0.687 0.070
0.750 0.313 0.930
0.250 0.187 0.430
0.750 0.813 0.570
```

Computed, not measured: MnP after structural relaxation at the PBE-GGA level of DFT.

Values from the calculation:
V = 24.0 Å³/cell
DFT total energy = -15.46 eV per cell
symmetry = P-6m2

POSCAR file:
```
MnP
1.0
-2.844 -0.753 1.199
2.573 -0.050 1.863
-0.422 2.635 0.654
Mn P
1 1
Direct
0.000 0.000 0.000
0.667 0.333 0.500
```

Computed, not measured: MnP5 after structural relaxation at the PBE-GGA level of DFT.

Values from the calculation:
V = 132.4 Å³/cell
energy relative to the lowest polymorph listed for this composition = 0.666 eV per atom
symmetry = P6/mmm

POSCAR file:
```
MnP5
1.0
2.199 -3.810 0.000
2.199 3.810 0.000
0.000 0.000 7.902
Mn P
1 5
Direct
0.000 0.000 0.000
0.333 0.667 0.000
0.667 0.333 0.000
0.500 0.000 0.500
0.000 0.500 0.500
0.500 0.500 0.500
```

Computed, not measured: Mn5P3 after structural relaxation at the PBE-GGA level of DFT.

Values from the calculation:
V = 87.4 Å³/cell
energy relative to the lowest polymorph listed for this composition = 0.144 eV per atom
symmetry = Cmmm

POSCAR file:
```
Mn5P3
1.0
2.799 -4.091 0.000
2.799 4.091 0.000
0.000 0.000 3.818
Mn P
5 3
Direct
0.000 0.000 0.000
0.000 0.500 0.000
0.500 0.000 0.000
0.266 0.266 0.500
0.734 0.734 0.500
0.500 0.500 0.000
0.791 0.209 0.500
0.209 0.791 0.500
```

Computed, not measured: MnP2 after structural relaxation at the PBE-GGA level of DFT.

Values from the calculation:
V = 76.1 Å³/cell
DFT total energy = -40.66 eV per cell
symmetry = I4_1/amd

POSCAR file:
```
MnP2
1.0
-1.382 1.382 9.960
1.382 -1.382 9.960
1.382 1.382 -9.960
Mn P
2 4
Direct
0.000 0.000 0.000
0.750 0.250 0.500
0.568 0.568 0.000
0.182 0.682 0.500
0.432 0.432 0.000
0.318 0.818 0.500
```

Computed, not measured: MnP after structural relaxation at the PBE-GGA level of DFT.

Values from the calculation:
V = 260.4 Å³/cell
DFT total energy = -118.20 eV per cell
symmetry = I4/m

POSCAR file:
```
MnP
1.0
8.140 0.000 0.000
0.000 8.140 0.000
0.000 0.000 3.929
Mn P
8 8
Direct
0.350 0.165 0.000
0.650 0.835 0.000
0.835 0.350 0.000
0.165 0.650 0.000
0.850 0.665 0.500
0.150 0.335 0.500
0.335 0.850 0.500
0.665 0.150 0.500
0.407 0.751 0.000
0.593 0.249 0.000
0.249 0.407 0.000
0.751 0.593 0.000
0.907 0.251 0.500
0.093 0.749 0.500
0.749 0.907 0.500
0.251 0.093 0.500
```

Computed, not measured: MnP after structural relaxation at the PBE-GGA level of DFT.

Values from the calculation:
V = 48.6 Å³/cell
DFT total energy = -28.29 eV per cell
symmetry = Fd-3m

POSCAR file:
```
MnP
1.0
0.314 -2.795 2.978
-0.906 1.013 3.864
-3.378 -1.494 1.771
Mn P
2 2
Direct
0.500 0.500 0.500
0.750 0.750 0.750
0.000 0.000 0.000
0.250 0.250 0.250
```

Computed, not measured: Mn4P3 after structural relaxation at the PBE-GGA level of DFT.

Values from the calculation:
V = 94.3 Å³/cell
energy relative to the lowest polymorph listed for this composition = 0.571 eV per atom
symmetry = P6/mmm

POSCAR file:
```
Mn4P3
1.0
2.406 -4.168 0.000
2.406 4.168 0.000
0.000 0.000 4.702
Mn P
4 3
Direct
0.000 0.000 0.255
0.000 0.000 0.745
0.667 0.333 0.500
0.333 0.667 0.500
0.000 0.500 0.000
0.500 0.500 0.000
0.500 0.000 0.000
```

Computed, not measured: MnP2 after structural relaxation at the PBE-GGA level of DFT.

Values from the calculation:
V = 76.1 Å³/cell
DFT total energy = -40.97 eV per cell
symmetry = Immm

POSCAR file:
```
MnP2
1.0
6.178 0.000 0.000
0.000 4.028 0.000
0.000 0.000 3.058
Mn P
2 4
Direct
0.000 0.000 0.000
0.500 0.500 0.500
0.211 0.500 0.000
0.789 0.500 0.000
0.711 0.000 0.500
0.289 0.000 0.500
```

Computed, not measured: MnP after structural relaxation at the PBE-GGA level of DFT.

Values from the calculation:
V = 330.6 Å³/cell
DFT total energy = -117.64 eV per cell
symmetry = I-43m

POSCAR file:
```
MnP
1.0
-2.004 -3.357 -5.703
1.728 -6.018 2.935
-6.388 -0.575 2.583
Mn P
8 8
Direct
0.370 0.370 0.370
0.370 0.630 0.630
0.630 0.370 0.630
0.630 0.630 0.370
0.870 0.870 0.870
0.870 0.130 0.130
0.130 0.870 0.130
0.130 0.130 0.870
0.185 0.185 0.185
0.185 0.815 0.815
0.815 0.185 0.815
0.815 0.815 0.185
0.685 0.685 0.685
0.685 0.315 0.315
0.315 0.685 0.315
0.315 0.315 0.685
```

Computed, not measured: MnP after structural relaxation at the PBE-GGA level of DFT.

Values from the calculation:
V = 189.9 Å³/cell
DFT total energy = -123.05 eV per cell
symmetry = P2_12_12_1

POSCAR file:
```
MnP
1.0
-4.818 -1.171 2.330
-2.293 -0.402 -4.942
1.425 -6.182 -0.159
Mn P
8 8
Direct
0.664 0.255 0.570
0.164 0.245 0.430
0.336 0.755 0.930
0.836 0.745 0.070
0.474 0.901 0.308
0.974 0.599 0.692
0.526 0.401 0.192
0.026 0.099 0.808
0.242 0.873 0.582
0.742 0.627 0.418
0.758 0.373 0.918
0.258 0.127 0.082
0.164 0.607 0.246
0.664 0.893 0.754
0.836 0.107 0.254
0.336 0.393 0.746
```

Computed, not measured: MnP after structural relaxation at the PBE-GGA level of DFT.

Values from the calculation:
V = 68.0 Å³/cell
DFT total energy = -46.26 eV per cell
symmetry = Cm

POSCAR file:
```
MnP
1.0
3.065 0.101 2.839
4.134 0.577 0.211
0.297 6.030 1.211
Mn P
3 3
Direct
0.941 0.941 0.973
0.709 0.709 0.673
0.624 0.624 0.276
0.327 0.327 0.364
0.007 0.007 0.580
0.225 0.225 0.968
```